The following is a DFT calculation (PBE-GGA) of an optimized crystal structure of CeDyCuRu.

Total energy ... -24.92 eV for the cell shown
E_form ... -0.2536 eV/atom
Total magnetic moment ... 0.132 μB/f.u.

POSCAR file:
```
CeDyCuRu
1.0
4.8926 0.0000 0.0000
2.4463 4.2371 0.0000
2.4463 1.4124 3.9948
Dy Ce Cu Ru
1 1 1 1
Direct
0.5000 0.5000 0.5000 Dy
0.0000 0.0000 0.0000 Ce
0.2500 0.2500 0.2500 Cu
0.7500 0.7500 0.7500 Ru
```